LaScCo4: relaxed, GGA-PBEsol.

Output
- E (eV/atom) = -7.296
- N(E_F) (states/eV/cell) = 7.69
- E_form (meV/atom) = -146.4
- crystal system = cubic

a b c (Å): 4.912 4.912 4.912
angles (deg): 60.00 60.00 60.00
Each line ends with the local moment (μB).
Atoms (fractional coordinates):
Sc (0.000, 0.000, 0.000)  -0.07
Co (0.626, 0.626, 0.122)  0.24
Co (0.122, 0.626, 0.626)  0.24
Co (0.626, 0.122, 0.626)  0.24
Co (0.626, 0.626, 0.626)  0.24
La (0.250, 0.250, 0.250)  -0.05